(1)
DyTm2TeO8 PBE optimized geometry; total DFT energy (no corrections) = -87.00 eV for the cell shown; space-group type = P2/m
1.0
4.9733 -0.0478 -0.0029
-0.0236 4.9752 -0.0055
0.0040 0.0075 6.8232
Dy O Tm Te
1 8 2 1
Cartesian
0.0020 0.0037 3.4116
4.0541 0.8849 1.4501
0.8975 4.0459 1.4485
1.3900 1.3800 6.8208
3.4010 3.3952 3.4058
0.8997 4.0500 5.3647
1.5529 1.5398 3.4090
4.0563 0.8891 5.3663
3.5638 3.5549 -0.0060
2.4758 2.4655 1.6785
2.4780 2.4694 5.1363
0.0000 0.0000 0.0000

***

(2)
DyYTe2O PBE optimized geometry; total DFT energy (no corrections) = -65.14 eV for the cell shown; space-group type = P4/nmm
1.0
4.1277 0.0000 0.0000
0.0000 4.1277 0.0000
0.0000 0.0000 15.8422
Dy Te O Y
2 4 2 2
Cartesian
0.0000 2.0639 13.7008
2.0639 0.0000 2.1415
2.0639 0.0000 14.5292
0.0000 2.0639 1.3130
2.0639 0.0000 5.0064
0.0000 2.0639 10.8359
0.0000 0.0000 7.9211
2.0639 2.0639 7.9211
0.0000 2.0639 6.8980
2.0639 0.0000 8.9443

***

(3)
DyYTeO2 PBE optimized geometry; total DFT energy (no corrections) = -77.88 eV for the cell shown; space-group type = P2_1/m
1.0
-0.9618 0.9799 3.8451
3.4300 -5.4224 2.2398
5.0850 5.8602 -0.2214
O Y Te Dy
4 2 2 2
Cartesian
5.5292 3.0659 3.8533
4.6213 1.2136 1.9306
2.0240 -1.6482 2.0102
2.9318 0.2041 3.9329
4.1275 -0.9477 2.3578
3.4256 2.3653 3.5057
3.7906 4.4429 0.8998
3.7625 -3.0252 4.9637
6.7267 2.0289 2.2494
0.8264 -0.6113 3.6141

***

(4)
DyZrTeO6 PBE optimized geometry; total DFT energy (no corrections) = -135.24 eV for the cell shown; space-group type = P-31c
1.0
5.4940 0.0000 0.0000
-2.7470 4.7579 0.0000
0.0000 0.0000 9.6804
O Zr Dy Te
12 2 2 2
Cartesian
3.5754 0.0408 3.5253
1.8230 3.0760 1.3149
-0.8284 4.7171 6.1551
4.4994 1.6412 1.3149
3.6710 3.0760 3.5253
1.9186 0.0408 1.3149
-0.9240 1.6819 6.1551
0.9240 1.6819 8.3655
-1.7524 3.1168 8.3655
0.9946 1.6412 3.5253
0.8284 4.7171 8.3655
1.7524 3.1168 6.1551
2.7470 1.5860 7.2603
0.0000 3.1719 2.4201
0.0000 0.0000 4.8402
0.0000 0.0000 0.0000
2.7470 1.5860 2.4201
0.0000 3.1719 7.2603

***

(5)
DyTh3O PBE optimized geometry; total DFT energy (no corrections) = -37.18 eV for the cell shown; space-group type = Pm-3m
1.0
-1.5500 2.7286 -3.9935
0.6301 -4.0439 -3.0076
-4.7954 -1.4133 0.8956
Dy Th O
1 3 1
Cartesian
-2.8577 -1.3643 -3.0528
0.3150 -2.0219 -1.5038
-0.7750 1.3643 -1.9967
-2.3977 -0.7067 0.4478
0.0000 0.0000 0.0000

***

(6)
DyTh3O8 PBE optimized geometry; total DFT energy (no corrections) = -109.75 eV for the cell shown; space-group type = Pm-3m
1.0
5.5738 0.0000 0.0000
0.0000 5.5738 0.0000
0.0000 0.0000 5.5738
O Th Dy
8 3 1
Cartesian
4.1845 1.3893 1.3893
1.3893 4.1845 1.3893
4.1845 1.3893 4.1845
1.3893 1.3893 4.1845
1.3893 1.3893 1.3893
4.1845 4.1845 4.1845
4.1845 4.1845 1.3893
1.3893 4.1845 4.1845
2.7869 2.7869 0.0000
0.0000 2.7869 2.7869
2.7869 0.0000 2.7869
0.0000 0.0000 0.0000

***

(7)
DyThO PBE optimized geometry; total DFT energy (no corrections) = -21.93 eV for the cell shown; space-group type = P3m1
1.0
-0.8759 -3.5699 -0.2200
2.5638 1.4080 -2.2370
4.0687 -1.2376 3.8840
Th O Dy
1 1 1
Cartesian
0.3999 -0.1217 0.3818
1.6465 -2.3291 0.4211
3.7101 -0.9488 0.6241

***

(8)
DyThUO6 PBE optimized geometry; total DFT energy (no corrections) = -168.49 eV for the cell shown; space-group type = P-31c
1.0
5.8139 0.0000 0.0000
-2.9069 5.0350 0.0000
0.0000 0.0000 9.7227
O U Th Dy
12 2 2 2
Cartesian
-0.9288 4.9557 6.1617
3.8357 0.0793 3.5610
1.0578 1.6735 3.5610
1.8492 3.3615 6.1617
0.9288 4.9557 8.4224
4.7561 1.6735 1.3004
-1.8492 3.3615 8.4224
1.9782 0.0793 1.3004
-0.9204 1.7528 6.1617
3.8273 3.2822 3.5610
0.9204 1.7528 8.4224
1.9865 3.2822 1.3004
0.0000 3.3567 7.2921
2.9069 1.6783 2.4307
0.0000 0.0000 0.0000
0.0000 0.0000 4.8614
0.0000 3.3567 2.4307
2.9069 1.6783 7.2921

***

(9)
Dy14Ti10O41 PBE optimized geometry; total DFT energy (no corrections) = -562.61 eV for the cell shown; space-group type = Cm
1.0
7.3673 0.0837 -0.0331
3.7317 6.3528 -0.0331
0.1211 0.0702 17.6293
O Ti Dy
41 10 14
Cartesian
5.7976 1.1588 11.9583
5.3257 5.3518 9.7923
5.9765 5.2680 0.6295
3.8575 4.7711 7.7117
4.0920 0.8373 1.6229
7.5061 6.0647 11.1897
3.6504 3.9822 3.9348
7.4963 6.1236 15.6561
9.6700 5.6079 9.7106
5.8236 1.0397 16.8432
5.6553 3.2797 15.3891
7.5272 4.3652 3.6376
7.5406 2.5709 0.6295
2.2444 3.0318 6.3718
1.5752 0.9135 7.8871
3.8852 4.4565 11.9583
8.6941 5.0420 0.5725
5.2693 1.1906 3.9348
8.9918 3.5029 11.1897
7.5369 1.9470 13.8553
3.7462 0.4423 6.3718
0.0433 0.0251 2.2736
3.7947 4.5382 16.8432
5.4331 5.5747 13.8553
7.3979 4.2902 8.0142
5.4284 3.1481 2.2816
5.1404 2.9810 6.2623
5.3013 5.5634 5.3864
3.6795 2.1338 13.8830
6.0569 0.9785 7.7117
9.2575 5.3687 13.5283
2.3314 1.3521 17.1412
9.6229 5.5806 5.4577
9.0380 3.4651 15.6561
1.6032 0.9297 11.8563
7.4617 1.8382 5.3864
2.3061 1.3373 3.9054
3.7412 2.1696 9.4464
2.7591 3.1358 1.6229
6.5556 3.8018 12.1953
7.2902 1.9645 9.7923
7.5175 6.3412 17.5504
9.2251 5.3499 11.5829
7.3663 2.1136 11.7983
11.1086 6.4422 8.7421
3.7881 2.1968 2.8846
5.4695 1.0927 5.8730
1.8156 1.0529 5.8160
9.2374 3.3754 17.5504
3.6649 4.2046 5.8730
5.4929 5.3439 11.7983
7.3218 4.2461 14.3650
0.2493 0.1446 0.1375
2.0499 1.1888 14.8772
7.6982 4.4644 5.8422
9.2801 5.3818 2.7609
7.2443 2.1710 3.0999
3.5739 2.0726 11.6687
3.7524 4.2375 14.6226
5.5416 1.1523 14.6226
9.0895 3.1284 8.8716
5.4822 5.2095 3.0999
5.4924 3.1852 8.5056
7.2296 6.3355 8.8716
5.3594 3.1081 -0.0008

***

Which of these has the highest total DFT energy (no corrections)? DyThO